Below is a geometry-optimized Nb2SO4 structure, with properties calculated at the GGA-PBE level. Values from VASP.

Cell and atoms, written as Quantum ESPRESSO input:
```
&SYSTEM
  ibrav = 0, nat = 14, ntyp = 3
/
ATOMIC_SPECIES
O 16.00 O.upf
S 32.06 S.upf
Nb 92.91 Nb.upf
CELL_PARAMETERS angstrom
5.977 0.444 -0.211
0.013 6.156 0.409
-2.932 -3.202 5.042
ATOMIC_POSITIONS angstrom
O 4.517 3.693 0.537
O 1.684 0.377 1.353
O 2.899 1.526 3.364
O 4.456 0.097 1.723
O -0.483 1.546 4.458
O 1.867 3.244 1.151
O 0.237 -1.341 4.369
O 2.657 -1.133 3.065
S -0.319 2.243 2.912
S 0.560 0.787 0.092
Nb 3.482 2.028 1.444
Nb 3.185 4.822 1.525
Nb 1.190 0.249 3.527
Nb -1.587 -0.335 4.076
```

## Properties
* symmetry: P1, No. 1
* crystal system: triclinic
* formation energy from raw total energies: -1.707 eV per atom
* energy: -8.007 eV/atom



Below is a geometry-optimized NbS2O structure, with properties calculated at the GGA-PBE level. Values from VASP.

Cell and atoms, written as Quantum ESPRESSO input:
```
&SYSTEM
  ibrav = 0, nat = 4, ntyp = 3
/
ATOMIC_SPECIES
Nb 92.91 Nb.upf
S 32.06 S.upf
O 16.00 O.upf
CELL_PARAMETERS angstrom
-2.581 -6.409 0.067
0.787 -6.862 0.193
-0.938 -6.138 3.032
ATOMIC_POSITIONS angstrom
Nb -1.366 -9.705 1.646
S -0.245 -1.742 0.295
S -2.486 -17.667 2.996
O 0.000 0.000 0.000
```

## Properties
* symmetry: R-3m, No. 166
* crystal system: trigonal
* formation energy from raw total energies: -0.551 eV per atom
* energy: -6.371 eV/atom



Below is a geometry-optimized NbSO structure, with properties calculated at the GGA-PBE level. Values from VASP.

Cell and atoms, written as Quantum ESPRESSO input:
```
&SYSTEM
  ibrav = 0, nat = 12, ntyp = 3
/
ATOMIC_SPECIES
O 16.00 O.upf
Nb 92.91 Nb.upf
S 32.06 S.upf
CELL_PARAMETERS angstrom
-0.959 5.461 0.329
-3.164 -0.894 5.610
6.214 -2.349 3.130
ATOMIC_POSITIONS angstrom
O -0.483 -1.566 6.044
O -0.196 1.381 4.850
O 2.286 0.838 4.220
O 2.573 3.785 3.026
Nb 0.944 -0.532 5.189
Nb 2.391 0.237 2.359
Nb -0.301 1.982 6.710
Nb 1.147 2.751 3.880
S 0.710 1.758 1.505
S -0.660 4.237 3.247
S 2.750 -2.018 5.823
S 1.381 0.461 7.565
```

## Properties
* symmetry: P2_1/c, No. 14
* crystal system: monoclinic
* formation energy from raw total energies: -1.670 eV per atom
* energy: -8.055 eV/atom



Below is a geometry-optimized NbSO3 structure, with properties calculated at the GGA-PBE level. Values from VASP.

Cell and atoms, written as Quantum ESPRESSO input:
```
&SYSTEM
  ibrav = 0, nat = 10, ntyp = 3
/
ATOMIC_SPECIES
O 16.00 O.upf
Nb 92.91 Nb.upf
S 32.06 S.upf
CELL_PARAMETERS angstrom
-0.737 -3.871 -0.608
0.389 -3.607 5.235
-8.256 0.605 -1.545
ATOMIC_POSITIONS angstrom
O -5.384 -0.148 -0.299
O -5.625 -5.155 2.697
O -3.476 -1.720 0.016
O -2.681 -2.867 3.701
O -5.790 -2.609 1.251
O -3.583 -4.192 1.647
Nb -3.989 -4.657 3.571
Nb -5.219 -4.690 0.773
S -1.050 -3.340 3.351
S -7.421 -2.137 1.601
```

## Properties
* symmetry: P-1, No. 2
* crystal system: triclinic
* formation energy from raw total energies: -1.542 eV per atom
* energy: -7.356 eV/atom



Below is a geometry-optimized NbS2O structure, with properties calculated at the GGA-PBE level. Values from VASP.

Cell and atoms, written as Quantum ESPRESSO input:
```
&SYSTEM
  ibrav = 0, nat = 8, ntyp = 3
/
ATOMIC_SPECIES
S 32.06 S.upf
O 16.00 O.upf
Nb 92.91 Nb.upf
CELL_PARAMETERS angstrom
5.456 0.000 0.000
0.000 5.456 0.000
2.728 2.728 5.114
ATOMIC_POSITIONS angstrom
S 4.055 1.364 1.278
S 6.821 6.783 3.835
S 4.092 4.129 3.835
S 1.401 4.092 1.278
O 2.728 5.456 2.557
O 2.728 2.728 0.000
Nb 5.456 2.728 2.557
Nb 0.000 0.000 0.000
```

## Properties
* symmetry: I-42d, No. 122
* crystal system: tetragonal
* formation energy from raw total energies: 0.017 eV per atom
* energy: -5.803 eV/atom



Below is a geometry-optimized Nb3SO7 structure, with properties calculated at the GGA-PBE level. Values from VASP.

Cell and atoms, written as Quantum ESPRESSO input:
```
&SYSTEM
  ibrav = 0, nat = 11, ntyp = 3
/
ATOMIC_SPECIES
O 16.00 O.upf
Nb 92.91 Nb.upf
S 32.06 S.upf
CELL_PARAMETERS angstrom
-4.647 2.500 -1.036
-3.053 -5.698 -0.053
0.555 3.319 5.520
ATOMIC_POSITIONS angstrom
O -5.261 -2.471 0.343
O -4.840 2.583 1.120
O -5.016 -1.006 2.780
O -5.896 1.579 3.429
O -1.857 -2.689 1.803
O -4.606 3.985 3.451
O -3.912 0.045 0.366
Nb -6.452 -2.001 1.851
Nb -4.975 0.755 1.877
Nb -5.244 -0.850 -0.793
S -2.875 1.511 3.166
```

## Properties
* symmetry: P3m1, No. 156
* crystal system: trigonal
* formation energy from raw total energies: -1.902 eV per atom
* energy: -8.179 eV/atom